1.
Ag2Bi2Se: single point on PBEsol structure, meta-GGA SCAN.

## Properties
The value obtained for the formation energy from raw total energies is 95 kJ/mol of formula units. The magnetic moment is 0.0 Bohr magnetons per cell.

Cell lengths 3.8056, 3.8056, 16.3442 Å; angles 90.00, 90.00, 90.00 degrees
Last column: nearest neighbours and their distance in Å.
Space group I4/mmm (No. 139)
Asymmetric unit:
Ag  0.0000  0.5000  0.2500  4 Ag 2.69
Bi  0.0000  0.0000  0.1047  4 Ag 3.04, 4 Se 3.19
Se  0.0000  0.0000  0.5000  8 Bi 3.19

***

2.
MgMo2Br: single point on PBEsol structure, meta-GGA SCAN.

## Properties
The value obtained for the formation energy from raw total energies is 363 kJ/mol of formula units. The magnetic moment is 0.0 Bohr magnetons per cell.

Cell lengths 5.1771, 9.0761, 2.8973 Å; angles 90.00, 90.00, 90.00 degrees
Last column: nearest neighbours and their distance in Å.
Space group Cmmm (No. 65)
Asymmetric unit:
Mg  0.0000  0.0000  0.0000  2 Br 2.59, 2 Mg 2.90
Mo  0.2500  0.2500  0.5000  4 Mo 2.59-2.90
Br  0.0000  0.5000  0.0000  2 Mg 2.59, 2 Br 2.90

***

3.
AgHgPt: single point on PBEsol structure, meta-GGA SCAN.

## Properties
The calculation puts the energy relative to the elements at 0.05 eV/atom. The magnetic moment is 0.0 Bohr magnetons per cell.

Cell lengths 2.9201, 4.0527, 8.6139 Å; angles 90.00, 90.00, 90.00 degrees
Last column: nearest neighbours and their distance in Å.
Space group Imm2 (No. 44)
Asymmetric unit:
Ag  0.0000  0.0000  0.0000  5 Hg 2.83-2.90, 5 Pt 2.87-2.90, 2 Ag 2.92
Hg  0.0000  0.0000  0.6715  5 Ag 2.83-2.90, 5 Pt 2.88, 2 Hg 2.92
Pt  0.0000  0.0000  0.3369  5 Ag 2.87-2.90, 5 Hg 2.88, 2 Pt 2.92

***

4.
Rb2SnO3: single point on PBEsol structure, meta-GGA SCAN.

## Properties
The value obtained for the formation energy from raw total energies is -968 kJ/mol of formula units. The magnetic moment is 0.9 Bohr magnetons per cell.

Cell lengths 6.0182, 12.4653, 13.2216 Å; angles 90.00, 90.00, 90.00 degrees
Last column: nearest neighbours and their distance in Å.
Space group Cmce (No. 64)
Asymmetric unit:
Rb  0.0000  0.0482  0.1386  5 O 2.82-3.05
Rb  0.0000  0.1225  0.5758  6 O 2.80-3.07
Sn  0.0000  0.2439  0.3380  4 O 1.93-2.01
O  0.0000  0.0900  0.3554  1 Sn 1.93
O  0.0000  0.1601  0.9532  1 Sn 1.94
O  0.2500  0.2041  0.7500  2 Sn 2.01

***

5.
YAs2Ru: single point on PBEsol structure, meta-GGA SCAN.

## Properties
The calculation puts the energy relative to the elements at -0.41 eV/atom. The magnetic moment is 0.0 Bohr magnetons per cell.

Cell lengths 4.4719, 4.4719, 16.6127 Å; angles 90.00, 90.00, 90.00 degrees
Last column: nearest neighbours and their distance in Å.
Space group I-42d (No. 122)
Asymmetric unit:
Y  0.0000  0.0000  0.0000  4 As 2.85, 4 Ru 3.16
As  0.1407  0.2500  0.6250  2 Ru 2.44, 2 As 2.57
Ru  0.0000  0.0000  0.5000  4 As 2.44

***

6.
Mg2PW: single point on PBEsol structure, meta-GGA SCAN.

## Properties
The calculation puts the energy relative to the elements at 0.30 eV/atom. The magnetic moment is 0.0 Bohr magnetons per cell.

Cell lengths 5.2006, 8.7714, 2.8159 Å; angles 90.00, 90.00, 90.00 degrees
Last column: nearest neighbours and their distance in Å.
Space group Cmmm (No. 65)
Asymmetric unit:
Mg  0.2500  0.2500  0.0000  4 Mg 2.60-2.82, 4 W 2.91, 4 P 2.91
P  0.0000  0.0000  0.5000  2 W 2.60, 2 P 2.82, 8 Mg 2.91
W  0.0000  0.5000  0.5000  2 P 2.60, 2 W 2.82, 8 Mg 2.91

***

7.
SrPb2Se: single point on PBEsol structure, meta-GGA SCAN.

## Properties
The value obtained for the formation energy from raw total energies is -245 kJ/mol of formula units. The magnetic moment is 0.0 Bohr magnetons per cell.

Cell lengths 4.9884, 4.9997, 8.9759 Å; angles 90.00, 90.00, 90.00 degrees
Last column: nearest neighbours and their distance in Å.
Space group Imm2 (No. 44)
Asymmetric unit:
Sr  0.0000  0.0000  0.0000  4 Se 3.35-3.36, 8 Pb 3.35-3.53
Pb  0.0000  0.0000  0.5004  4 Pb 3.35-3.36, 4 Se 3.35-3.36, 4 Sr 3.53
Pb  0.0000  0.5000  0.2500  4 Pb 3.35-3.36, 4 Sr 3.35-3.36, 4 Se 3.53
Se  0.0000  0.5000  0.7494  4 Sr 3.35-3.36, 8 Pb 3.35-3.53

***

8.
Rb3TlPd: single point on PBEsol structure, meta-GGA SCAN.

## Properties
The calculation puts the energy relative to the elements at 0.58 eV/atom. The magnetic moment is 0.3 Bohr magnetons per cell.

Cell lengths 6.6159, 6.6159, 6.6159 Å; angles 90.00, 90.00, 90.00 degrees
Last column: nearest neighbours and their distance in Å.
Space group Pm-3m (No. 221)
Asymmetric unit:
Rb  0.0000  0.0000  0.5000  2 Tl 3.31
Tl  0.0000  0.0000  0.0000  6 Rb 3.31
Pd  0.5000  0.5000  0.5000  12 Rb 4.68

***

9.
IrC: single point on PBEsol structure, meta-GGA SCAN.

## Properties
The calculation puts the energy relative to the elements at 1.10 eV/atom. The magnetic moment is 0.0 Bohr magnetons per cell.

Cell lengths 2.7077, 10.0289, 3.1129 Å; angles 90.00, 90.00, 90.00 degrees
Last column: nearest neighbours and their distance in Å.
Space group Cmcm (No. 63)
Asymmetric unit:
Ir  0.0000  0.1192  0.2500  5 C 2.09-2.13
C  0.0000  0.3276  0.2500  5 Ir 2.09-2.13

***

10.
Hg2RhW: single point on PBEsol structure, meta-GGA SCAN.

## Properties
The calculation puts the energy relative to the elements at 0.71 eV/atom. The magnetic moment is 0.0 Bohr magnetons per cell.

Cell lengths 5.5781, 8.5107, 2.8606 Å; angles 90.00, 90.00, 90.00 degrees
Last column: nearest neighbours and their distance in Å.
Space group Cmmm (No. 65)
Asymmetric unit:
Hg  0.2500  0.2500  0.0000  4 Hg 2.79-2.86, 4 W 2.92, 4 Rh 2.92
Rh  0.0000  0.0000  0.5000  2 W 2.79, 2 Rh 2.86, 8 Hg 2.92
W  0.0000  0.5000  0.5000  2 Rh 2.79, 2 W 2.86, 8 Hg 2.92

***

11.
Li3CuS2: single point on PBEsol structure, meta-GGA SCAN.

## Properties
The value obtained for the formation energy from raw total energies is -675 kJ/mol of formula units. The magnetic moment is 0.0 Bohr magnetons per cell.

Cell lengths 11.1179, 11.1179, 11.1179 Å; angles 90.00, 90.00, 90.00 degrees
Last column: nearest neighbours and their distance in Å.
Space group Ia-3 (No. 206)
Asymmetric unit:
Li  0.1234  0.1269  0.6259  4 S 2.36-2.46
Cu  0.1229  0.1229  0.1229  4 S 2.37-2.45
S  0.0000  0.2500  0.0041  6 Li 2.36-2.46, 2 Cu 2.37
S  0.2500  0.2500  0.2500  6 Li 2.40, 2 Cu 2.45

***

12.
SrIn2GeN: single point on PBEsol structure, meta-GGA SCAN.

## Properties
The value obtained for the formation energy from raw total energies is 182 kJ/mol of formula units. The magnetic moment is 0.0 Bohr magnetons per cell.

Cell lengths 5.7383, 5.7383, 3.7569 Å; angles 90.00, 90.00, 90.00 degrees
Last column: nearest neighbours and their distance in Å.
Space group P4/mmm (No. 123)
Asymmetric unit:
Sr  0.0000  0.0000  0.0000  8 In 3.43, 2 Sr 3.76
In  0.0000  0.5000  0.5000  2 Ge 2.87
Ge  0.5000  0.5000  0.5000  2 N 1.88
N  0.5000  0.5000  0.0000  2 Ge 1.88

***

Table of DOS(E_F) (states/eV/f.u.), in record order: 2.24; 3.38; 0.88; 0.00; 2.84; 2.22; 1.98; 3.18; 0.68; 3.65; 0.00; 2.67
Table of raw total energy (eV per cell), in record order: -477.97; -180.89; -339.16; -849.05; -418.82; -177.64; -392.92; -164.43; -315.97; -473.88; -777.92; -115.54
Table of calculated volume (Å³ per atom), in record order: 23.67; 17.02; 16.99; 20.66; 20.76; 16.06; 27.98; 57.92; 10.57; 16.98; 14.32; 24.74